(1)
# AcIn4Au6, relaxed, DFT PBE-GGA
# ΔE_f (meV per atom): -375
# E_tot (eV per atom): -3.5315
data_AcIn4Au6
_chemical_formula_sum 'Ac1 In4 Au6'
_cell_length_a 7.9353
_cell_length_b 7.9353
_cell_length_c 4.6037
_cell_angle_alpha 90.00
_cell_angle_beta 90.00
_cell_angle_gamma 120.00
_space_group_name_H-M_alt 'P -6'
_space_group_IT_number 174
_space_group_name_Hall 'P -6'
loop_
_atom_site_label
_atom_site_type_symbol
_atom_site_fract_x
_atom_site_fract_y
_atom_site_fract_z
Ac1 Ac 0.0000 0.0000 0.0000
In1 In 0.1189 0.7104 0.5000
In2 In 0.6667 0.3333 0.0000
Au1 Au 0.0995 0.4691 0.0000
Au2 Au 0.3858 0.1287 0.5000

=====

(2)
# NbCrTc, relaxed, DFT PBE-GGA
# ΔE_f (meV per atom): -62
# E_tot (eV per atom): -10.0814
# E above lowest polymorph (kJ per mole of atoms): 0.9
data_NbCrTc
_chemical_formula_sum 'Nb2 Cr2 Tc2'
_cell_length_a 4.3667
_cell_length_b 4.3667
_cell_length_c 5.4052
_cell_angle_alpha 90.00
_cell_angle_beta 90.00
_cell_angle_gamma 120.00
_space_group_name_H-M_alt 'P -3 m 1'
_space_group_IT_number 164
_space_group_name_Hall '-P 3 2"'
loop_
_atom_site_label
_atom_site_type_symbol
_atom_site_fract_x
_atom_site_fract_y
_atom_site_fract_z
Nb1 Nb 0.3333 0.6667 0.1664
Cr1 Cr 0.0000 0.0000 0.0000
Cr2 Cr 0.0000 0.0000 0.5000
Tc1 Tc 0.3333 0.6667 0.6619

=====

(3)
# Pu2Si5Ir3, relaxed, DFT PBE-GGA
# E_tot (eV per atom): -9.0197
data_Pu2Si5Ir3
_chemical_formula_sum 'Pu8 Si20 Ir12'
_cell_length_a 11.575
_cell_length_b 11.547
_cell_length_c 5.826
_cell_angle_alpha 90.00
_cell_angle_beta 120.12
_cell_angle_gamma 90.00
_space_group_name_H-M_alt 'C 1 2/c 1'
_space_group_IT_number 15
_space_group_name_Hall '-C 2yc'
loop_
_atom_site_label
_atom_site_type_symbol
_atom_site_fract_x
_atom_site_fract_y
_atom_site_fract_z
Pu1 Pu 0.230 0.131 0.230
Si1 Si 0.000 0.001 0.250
Si2 Si 0.000 0.275 0.250
Si3 Si 0.000 0.276 0.750
Si4 Si 0.156 0.395 0.156
Ir1 Ir 0.000 0.500 0.250
Ir2 Ir 0.113 0.140 0.614

=====

(4)
# KAgTe2S, relaxed, DFT PBE-GGA
# E_tot (eV per atom): -1.8740
data_KAgTe2S
_chemical_formula_sum 'K1 Ag1 Te2 S1'
_cell_length_a 6.295
_cell_length_b 6.295
_cell_length_c 5.600
_cell_angle_alpha 90.00
_cell_angle_beta 90.00
_cell_angle_gamma 90.00
_space_group_name_H-M_alt 'P 4/m m m'
_space_group_IT_number 123
_space_group_name_Hall '-P 4 2'
loop_
_atom_site_label
_atom_site_type_symbol
_atom_site_fract_x
_atom_site_fract_y
_atom_site_fract_z
K1 K 0.000 0.000 0.000
Ag1 Ag 0.500 0.500 0.500
Te1 Te 0.000 0.500 0.000
S1 S 0.000 0.000 0.500

=====

(5)
# CaSc3Cu8, relaxed, DFT PBE-GGA
# ΔE_f (meV per atom): -181
# E_tot (eV per atom): -4.6616
data_CaSc3Cu8
_chemical_formula_sum 'Ca1 Sc3 Cu8'
_cell_length_a 5.1387
_cell_length_b 5.1387
_cell_length_c 8.2612
_cell_angle_alpha 90.00
_cell_angle_beta 90.00
_cell_angle_gamma 120.00
_space_group_name_H-M_alt 'P 3 m 1'
_space_group_IT_number 156
_space_group_name_Hall 'P 3 -2"'
loop_
_atom_site_label
_atom_site_type_symbol
_atom_site_fract_x
_atom_site_fract_y
_atom_site_fract_z
Ca1 Ca 0.0000 0.0000 0.0000
Sc1 Sc 0.0000 0.0000 0.3922
Sc2 Sc 0.6667 0.3333 0.4924
Sc3 Sc 0.6667 0.3333 0.8714
Cu1 Cu 0.1666 0.3333 0.6823
Cu2 Cu 0.3333 0.6667 0.4356
Cu3 Cu 0.3333 0.6667 0.9375
Cu4 Cu 0.5018 0.0035 0.1932

=====

(6)
# TmUCo4, relaxed, DFT PBE-GGA
# ΔE_f (meV per atom): -132
# E_tot (eV per atom): -7.4955
# E above lowest polymorph (kJ per mole of atoms): 4.4
data_TmUCo4
_chemical_formula_sum 'Tm4 U4 Co16'
_cell_length_a 9.567
_cell_length_b 6.019
_cell_length_c 6.852
_cell_angle_alpha 90.00
_cell_angle_beta 112.69
_cell_angle_gamma 90.00
_space_group_name_H-M_alt 'C 1 2/m 1'
_space_group_IT_number 12
_space_group_name_Hall '-C 2y'
loop_
_atom_site_label
_atom_site_type_symbol
_atom_site_fract_x
_atom_site_fract_y
_atom_site_fract_z
Tm1 Tm 0.195 0.000 0.308
U1 U 0.025 0.500 0.254
Co1 Co 0.000 0.202 0.500
Co2 Co 0.106 0.212 0.924
Co3 Co 0.239 0.000 0.749

=====

(7)
# Na2PaSeO8, relaxed, DFT PBE-GGA
# E_tot (eV per atom): -5.7473
data_Na2PaSeO8
_chemical_formula_sum 'Na2 Pa1 Se1 O8'
_cell_length_a 5.3990
_cell_length_b 5.3990
_cell_length_c 5.8986
_cell_angle_alpha 90.00
_cell_angle_beta 90.00
_cell_angle_gamma 120.00
_space_group_name_H-M_alt 'P -3 m 1'
_space_group_IT_number 164
_space_group_name_Hall '-P 3 2"'
loop_
_atom_site_label
_atom_site_type_symbol
_atom_site_fract_x
_atom_site_fract_y
_atom_site_fract_z
Na1 Na 0.3333 0.6667 0.4155
Pa1 Pa 0.0000 0.0000 0.0000
Se1 Se 0.0000 0.0000 0.5000
O1 O 0.1525 0.3050 0.6930
O2 O 0.3333 0.6667 0.0262

=====

(8)
# MnReW2, relaxed, DFT PBE-GGA
# ΔE_f (meV per atom): 83
# E_tot (eV per atom): -11.7979
# E above lowest polymorph (kJ per mole of atoms): 0.0
data_MnReW2
_chemical_formula_sum 'Mn2 Re2 W4'
_cell_length_a 3.163
_cell_length_b 4.395
_cell_length_c 8.637
_cell_angle_alpha 90.00
_cell_angle_beta 90.00
_cell_angle_gamma 90.00
_space_group_name_H-M_alt 'I m m m'
_space_group_IT_number 71
_space_group_name_Hall '-I 2 2'
loop_
_atom_site_label
_atom_site_type_symbol
_atom_site_fract_x
_atom_site_fract_y
_atom_site_fract_z
Mn1 Mn 0.000 0.000 0.000
Re1 Re 0.000 0.000 0.500
W1 W 0.000 0.500 0.249